The following is a PBE calculation of ThAl2Co4Si after structural relaxation, from the Alexandria database.

a = 3.9755 Å, b = 3.9755 Å, c = 24.7017 Å
α = 90.00°, β = 90.00°, γ = 120.00°
Space group R-3m (No. 166, hexagonal axes)
Unique sites:
Th 0.0000 0.0000 0.0000 x3
Al 0.0000 0.0000 0.2360 x6
Co 0.0000 0.0000 0.1356 x6
Co 0.0000 0.0000 0.4062 x6
Si 0.0000 0.0000 0.5000 x3

Summary:
calculated density = 8101 kg/m3
ΔE_f (raw) = -500 meV per atom
M_tot = 0.00 μB per cell